[1]
K4Sm3TiSe8 (GGA-PBE, relaxed); uncorrected formation energy = -1578 meV/atom; total magnetization = 1.002 μB per cell
1.0
-7.752 -1.546 -2.827
-1.911 -4.466 7.681
2.718 7.914 0.686
Se K Sm Ti
8 4 3 1
direct
0.738 0.713 0.475
0.777 0.299 0.554
0.756 0.701 0.978
0.244 0.299 0.022
0.223 0.701 0.446
0.777 0.299 0.022
0.223 0.701 0.978
0.262 0.287 0.525
0.500 0.000 0.500
0.000 0.000 0.500
0.000 0.000 0.000
0.500 0.000 0.000
0.500 0.500 0.500
0.500 0.500 0.000
0.000 0.500 0.500
0.000 0.500 0.000

---

[2]
K2SmTiSe4 (GGA-PBE, relaxed); uncorrected formation energy = -1420 meV/atom; total magnetization = 1.003 μB per cell
1.0
4.084 0.000 0.000
0.000 7.081 0.119
0.000 -2.480 7.632
Se K Sm Ti
4 2 1 1
direct
0.500 0.790 0.807
0.000 0.242 0.795
0.500 0.210 0.193
0.000 0.758 0.205
0.000 0.500 0.500
0.500 0.000 0.500
0.500 0.500 0.000
0.000 0.000 0.000

---

[3]
KSmTlSe3 (GGA-PBE, relaxed); uncorrected formation energy = -1159 meV/atom; total magnetization = 0.000 μB per cell
1.0
4.247 0.000 0.000
0.000 9.109 0.109
0.000 -2.289 10.093
Se Sm Tl K
6 2 2 2
direct
0.250 0.124 0.835
0.250 0.667 0.444
0.750 0.876 0.165
0.750 0.423 0.138
0.250 0.577 0.862
0.750 0.333 0.556
0.250 0.644 0.149
0.750 0.356 0.851
0.250 0.135 0.565
0.750 0.865 0.435
0.250 0.173 0.199
0.750 0.827 0.801

---

[4]
K2SmTmSe4 (GGA-PBE, relaxed); uncorrected formation energy = -1752 meV/atom; total magnetization = 0.000 μB per cell
1.0
4.232 0.000 0.000
0.000 7.330 0.125
0.000 -2.571 7.643
K Se Sm Tm
2 4 1 1
direct
0.500 0.000 0.500
0.000 0.500 0.500
0.000 0.743 0.207
0.500 0.228 0.204
0.500 0.772 0.796
0.000 0.257 0.793
0.500 0.500 0.000
0.000 0.000 0.000

---

[5]
KSm2TmSe4 (GGA-PBE, relaxed); uncorrected formation energy = -1694 meV/atom; total magnetization = 0.000 μB per cell
1.0
-2.187 -1.662 3.108
0.591 -6.600 -3.114
6.085 -3.239 2.549
K Se Sm Tm
1 4 2 1
direct
0.500 0.500 0.000
0.000 0.758 0.732
0.500 0.256 0.736
0.500 0.744 0.264
0.000 0.242 0.268
0.000 0.000 0.000
0.500 0.000 0.500
0.000 0.500 0.500

---

[6]
K4SmU3Se8 (GGA-PBE, relaxed); uncorrected formation energy = -1356 meV/atom; total magnetization = 9.009 μB per cell
1.0
8.473 0.000 0.000
0.000 9.146 0.471
-4.236 -4.234 5.993
Se K Sm U
8 4 1 3
direct
0.736 0.708 0.472
0.266 0.291 0.028
0.762 0.291 0.524
0.264 0.292 0.528
0.238 0.709 0.476
0.734 0.709 0.972
0.762 0.291 0.028
0.238 0.709 0.972
0.000 0.000 0.000
0.500 0.000 0.000
0.000 0.000 0.500
0.500 0.000 0.500
0.000 0.500 0.000
0.000 0.500 0.500
0.500 0.500 0.500
0.500 0.500 0.000

---

[7]
K3Sm3USe8 (GGA-PBE, relaxed); uncorrected formation energy = -1635 meV/atom; total magnetization = 2.000 μB per cell
1.0
-0.757 -8.217 2.116
-1.072 2.441 -8.090
8.588 0.070 3.364
Se K Sm U
8 3 3 1
direct
0.229 0.972 0.701
0.257 0.028 0.299
0.229 0.458 0.701
0.736 0.472 0.708
0.743 0.972 0.701
0.771 0.542 0.299
0.771 0.028 0.299
0.264 0.528 0.292
0.500 0.500 0.000
0.000 0.500 0.000
0.000 0.000 0.000
0.000 0.500 0.500
0.500 0.500 0.500
0.500 0.000 0.500
0.000 0.000 0.500

---

[8]
K2SmUSe6 (GGA-PBE, relaxed); uncorrected formation energy = -1196 meV/atom; total magnetization = 0.001 μB per cell
1.0
7.734 0.000 -0.032
0.000 7.790 0.000
0.021 0.000 11.018
K Se U Sm
4 12 2 2
direct
0.505 0.524 0.750
0.005 0.976 0.250
0.995 0.024 0.750
0.495 0.476 0.250
0.229 0.211 0.481
0.729 0.289 0.981
0.711 0.271 0.520
0.037 0.494 0.759
0.211 0.229 0.020
0.463 0.994 0.741
0.771 0.789 0.519
0.289 0.729 0.480
0.963 0.506 0.241
0.789 0.771 0.980
0.271 0.711 0.019
0.537 0.006 0.259
0.500 0.000 0.500
0.000 0.500 0.000
0.500 0.000 0.000
0.000 0.500 0.500

---

[9]
K2SmYSe4 (GGA-PBE, relaxed); uncorrected formation energy = -1765 meV/atom; total magnetization = 0.000 μB per cell
1.0
-2.015 0.533 3.714
5.385 -3.674 3.449
1.998 7.824 -0.039
K Y Se Sm
2 1 4 1
direct
0.500 0.000 0.500
0.000 0.500 0.500
0.000 0.000 0.000
0.500 0.231 0.206
0.000 0.260 0.792
0.000 0.740 0.208
0.500 0.769 0.794
0.500 0.500 0.000

---

[10]
K3Sm3YSe8 (GGA-PBE, relaxed); uncorrected formation energy = -1672 meV/atom; total magnetization = 0.000 μB per cell
1.0
-1.810 -7.868 -2.553
7.220 3.691 -2.455
-0.585 -2.727 8.818
Se Y Sm K
8 1 3 3
direct
0.264 0.527 0.291
0.232 0.971 0.704
0.261 0.029 0.296
0.768 0.536 0.296
0.232 0.464 0.704
0.736 0.473 0.709
0.739 0.971 0.704
0.768 0.029 0.296
0.000 0.000 0.500
0.000 0.500 0.500
0.500 0.500 0.500
0.500 0.000 0.500
0.000 0.000 0.000
0.000 0.500 0.000
0.500 0.500 0.000

---

[11]
KSmY4Se8 (GGA-PBE, relaxed); uncorrected formation energy = -1758 meV/atom; total magnetization = 0.000 μB per cell
1.0
-4.104 -7.464 1.100
2.804 -7.071 -3.988
3.736 -6.320 4.584
Y Se Sm K
4 8 1 1
direct
0.625 0.625 0.124
0.486 0.005 0.505
0.005 0.486 0.505
0.005 0.005 0.505
0.238 0.795 0.729
0.758 0.758 0.727
0.795 0.238 0.729
0.238 0.238 0.729
0.234 0.234 0.298
0.229 0.755 0.261
0.755 0.229 0.261
0.755 0.755 0.261
0.005 0.005 0.985
0.373 0.373 0.882

---

[12]
KSmY2Se4 (GGA-PBE, relaxed); uncorrected formation energy = -1737 meV/atom; total magnetization = 0.000 μB per cell
1.0
-3.947 0.909 0.833
-2.107 -3.594 -6.063
-1.237 -6.994 1.767
Se Y Sm K
4 2 1 1
direct
0.000 0.238 0.248
0.500 0.229 0.766
0.000 0.762 0.752
0.500 0.771 0.234
0.000 0.000 0.000
0.500 0.000 0.500
0.500 0.500 0.000
0.000 0.500 0.500

---

[13]
KSmZnSe3 (GGA-PBE, relaxed); uncorrected formation energy = -1378 meV/atom; total magnetization = 0.000 μB per cell
1.0
4.199 0.000 0.000
0.000 9.164 -0.207
0.000 -2.632 9.554
Se Zn Sm K
6 2 2 2
direct
0.750 0.200 0.532
0.250 0.544 0.840
0.250 0.800 0.468
0.750 0.456 0.160
0.250 0.104 0.857
0.750 0.896 0.143
0.750 0.917 0.394
0.250 0.083 0.606
0.750 0.329 0.857
0.250 0.671 0.143
0.250 0.204 0.232
0.750 0.796 0.768

---

[14]
K2Sm2ZrSe6 (GGA-PBE, relaxed); uncorrected formation energy = -1636 meV/atom; total magnetization = 0.000 μB per cell
1.0
7.157 0.009 0.059
-3.529 6.226 0.059
-1.299 -2.232 7.814
Se Sm K Zr
6 2 2 1
direct
0.930 0.617 0.298
0.243 0.243 0.300
0.757 0.757 0.700
0.617 0.930 0.298
0.070 0.383 0.702
0.383 0.070 0.702
0.333 0.667 0.500
0.667 0.333 0.500
0.829 0.171 0.000
0.171 0.829 0.000
0.000 0.000 0.500

---

[15]
KSn3Se4 (GGA-PBE, relaxed); uncorrected formation energy = -566 meV/atom; total magnetization = 0.000 μB per cell
1.0
4.148 -0.049 0.074
0.050 7.226 2.047
-0.137 0.238 7.941
Se K Sn
4 1 3
direct
0.000 0.241 0.294
0.000 0.782 0.735
0.500 0.739 0.282
0.500 0.227 0.753
0.500 0.496 0.002
0.000 0.007 0.954
0.000 0.508 0.479
0.500 0.001 0.501

---

[16]
K3SnSe2 (GGA-PBE, relaxed); uncorrected formation energy = -741 meV/atom; total magnetization = 0.831 μB per cell
1.0
7.838 0.000 0.000
0.000 7.547 0.000
-3.919 -3.773 7.701
K Sn Se
6 2 4
direct
0.500 0.750 0.000
0.234 0.484 0.469
0.500 0.250 0.000
0.766 0.016 0.531
0.766 0.516 0.531
0.234 0.984 0.469
0.000 0.000 0.000
0.000 0.500 0.000
0.597 0.369 0.738
0.859 0.131 0.262
0.403 0.631 0.262
0.141 0.869 0.738

---

[17]
KSn2Se2 (GGA-PBE, relaxed); uncorrected formation energy = -361 meV/atom; ΔE to the lowest computed polymorph = 0.157 eV per atom; total magnetization = 0.000 μB per cell
1.0
8.437 0.000 0.000
0.000 8.437 0.000
0.000 0.000 4.062
Sn Se K
4 4 2
direct
0.632 0.868 0.500
0.368 0.132 0.500
0.868 0.368 0.500
0.132 0.632 0.500
0.344 0.844 0.000
0.156 0.344 0.000
0.844 0.656 0.000
0.656 0.156 0.000
0.500 0.500 0.000
0.000 0.000 0.000

---

[18]
K2SnSe2 (GGA-PBE, relaxed); uncorrected formation energy = -404 meV/atom; ΔE to the lowest computed polymorph = 0.500 eV per atom; total magnetization = 0.000 μB per cell
1.0
8.741 0.000 0.000
0.000 8.741 0.000
0.000 0.000 3.867
Se K Sn
4 4 2
direct
0.186 0.686 0.500
0.314 0.186 0.500
0.814 0.314 0.500
0.686 0.814 0.500
0.618 0.118 0.000
0.882 0.618 0.000
0.382 0.882 0.000
0.118 0.382 0.000
0.000 0.000 0.000
0.500 0.500 0.000

---

[19]
K2SnSe2 (GGA-PBE, relaxed); uncorrected formation energy = -903 meV/atom; ΔE to the lowest computed polymorph = 0.000 eV per atom; total magnetization = 0.000 μB per cell
1.0
8.183 0.000 -0.710
0.000 8.441 0.000
-1.907 0.000 10.632
Se Sn K
8 4 8
direct
0.291 0.459 0.539
0.709 0.541 0.461
0.209 0.959 0.461
0.783 0.959 0.145
0.717 0.459 0.855
0.791 0.041 0.539
0.217 0.041 0.855
0.283 0.541 0.145
0.565 0.641 0.647
0.065 0.859 0.647
0.935 0.141 0.353
0.435 0.359 0.353
0.518 0.262 0.040
0.495 0.147 0.681
0.982 0.762 0.960
0.005 0.647 0.319
0.995 0.353 0.681
0.482 0.738 0.960
0.505 0.853 0.319
0.018 0.238 0.040

---

[20]
KSn4Se7 (GGA-PBE, relaxed); uncorrected formation energy = -447 meV/atom; total magnetization = 0.000 μB per cell
1.0
-4.393 2.868 -3.961
1.833 -3.953 -4.895
-12.350 -11.962 5.036
K Se Sn
2 14 8
direct
0.527 0.726 0.500
0.027 0.274 0.000
0.975 0.202 0.259
0.903 0.134 0.500
0.975 0.202 0.741
0.471 0.233 0.409
0.403 0.866 0.000
0.971 0.767 0.909
0.532 0.300 0.090
0.971 0.767 0.091
0.471 0.233 0.591
0.032 0.700 0.590
0.532 0.300 0.910
0.475 0.798 0.759
0.475 0.798 0.241
0.032 0.700 0.410
0.537 0.227 0.250
0.096 0.319 0.393
0.037 0.773 0.750
0.037 0.773 0.250
0.537 0.227 0.750
0.096 0.319 0.607
0.596 0.681 0.107
0.596 0.681 0.893